Model P:
Below is a geometry-optimized RbTc3Ge structure, with properties calculated at the PBE level.

It has space group Pm-3m (No. 221), with a = 4.779 Å, b = 4.779 Å, c = 4.779 Å, α = 90.00°, β = 90.00° and γ = 90.00°. The distinct sites, in fractional coordinates, are Rb at (0.000, 0.000, 0.000), Tc at (0.000, 0.000, 0.500) and Ge at (0.500, 0.500, 0.500).



Model Q:
Below is a geometry-optimized RbTc3Ge structure, with properties calculated at the PBE level.

It has space group Pm-3m (No. 221), with a = 4.819 Å, b = 4.819 Å, c = 4.819 Å, α = 90.00°, β = 90.00° and γ = 90.00°. The distinct sites, in fractional coordinates, are Rb at (0.000, 0.000, 0.000), Tc at (0.000, 0.500, 0.500) and Ge at (0.500, 0.500, 0.500).



The structure with the least stability is model P.



Model P:
Below is a geometry-optimized Rb2Ge2Te3 structure, with properties calculated at the PBE level.

It has space group P2_1/c (No. 14), with a = 7.863 Å, b = 9.037 Å, c = 9.172 Å, α = 90.00°, β = 114.89° and γ = 90.00°. The distinct sites, in fractional coordinates, are Rb at (0.205, 0.173, 0.396), Ge at (0.347, 0.621, 0.552), Te at (0.000, 0.000, 0.000) and Te at (0.390, 0.580, 0.255).



Model Q:
Below is a geometry-optimized Rb2Ge2Te3 structure, with properties calculated at the PBE level.

It has space group C2/m (No. 12), with a = 14.666 Å, b = 5.846 Å, c = 7.537 Å, α = 90.00°, β = 108.31° and γ = 90.00°. The distinct sites, in fractional coordinates, are Rb at (0.115, 0.000, 0.270), Ge at (0.164, 0.500, 0.888), Te at (0.000, 0.500, 0.000) and Te at (0.183, 0.000, 0.793).



The structure with the least stability is model P.



Model P:
Below is a geometry-optimized RbGeTe4 structure, with properties calculated at the PBE level.

It has space group P-1 (No. 2), with a = 7.450 Å, b = 7.470 Å, c = 9.107 Å, α = 113.90°, β = 103.08° and γ = 90.31°. The distinct sites, in fractional coordinates, are Rb at (0.250, 0.230, 0.001), Ge at (0.000, 0.500, 0.500), Ge at (0.500, 0.000, 0.500), Te at (0.137, 0.901, 0.561), Te at (0.236, 0.795, 0.166), Te at (0.263, 0.631, 0.835) and Te at (0.362, 0.341, 0.442).



Model Q:
Below is a geometry-optimized RbGeTe4 structure, with properties calculated at the PBE level.

It has space group C2/c (No. 15), with a = 7.747 Å, b = 16.933 Å, c = 7.987 Å, α = 90.00°, β = 103.71° and γ = 90.00°. The distinct sites, in fractional coordinates, are Rb at (0.000, 0.100, 0.250), Ge at (0.000, 0.222, 0.750), Te at (0.081, 0.303, 0.495) and Te at (0.228, 0.109, 0.861).



The structure with the least stability is model P.



Model P:
Below is a geometry-optimized RbGe2Te3 structure, with properties calculated at the PBE level.

It has space group Pmc2_1 (No. 26), with a = 4.058 Å, b = 12.516 Å, c = 8.376 Å, α = 90.00°, β = 90.00° and γ = 90.00°. The distinct sites, in fractional coordinates, are Rb at (0.000, 0.134, 0.000), Ge at (0.000, 0.241, 0.502), Ge at (0.500, 0.490, 0.064), Te at (0.000, 0.403, 0.727), Te at (0.500, 0.108, 0.626) and Te at (0.500, 0.314, 0.266).



Model Q:
Below is a geometry-optimized RbGe2Te3 structure, with properties calculated at the PBE level.

It has space group Immm (No. 71), with a = 5.364 Å, b = 5.588 Å, c = 14.748 Å, α = 90.00°, β = 90.00° and γ = 90.00°. The distinct sites, in fractional coordinates, are Rb at (0.000, 0.000, 0.000), Ge at (0.000, 0.000, 0.314), Te at (0.000, 0.000, 0.500) and Te at (0.000, 0.500, 0.256).



The structure with the least stability is model P.



Model P:
Below is a geometry-optimized RbGe3Te structure, with properties calculated at the PBE level.

It has space group Pm-3m (No. 221), with a = 5.696 Å, b = 5.696 Å, c = 5.696 Å, α = 90.00°, β = 90.00° and γ = 90.00°. The distinct sites, in fractional coordinates, are Rb at (0.000, 0.000, 0.000), Ge at (0.000, 0.000, 0.500) and Te at (0.500, 0.500, 0.500).



Model Q:
Below is a geometry-optimized RbGe3Te structure, with properties calculated at the PBE level.

It has space group Pm-3m (No. 221), with a = 5.636 Å, b = 5.636 Å, c = 5.636 Å, α = 90.00°, β = 90.00° and γ = 90.00°. The distinct sites, in fractional coordinates, are Rb at (0.000, 0.000, 0.000), Ge at (0.000, 0.500, 0.500) and Te at (0.500, 0.500, 0.500).



The structure with the least stability is model P.



Model P:
Below is a geometry-optimized RbTiGe3 structure, with properties calculated at the PBE level.

It has space group Pm-3m (No. 221), with a = 5.342 Å, b = 5.342 Å, c = 5.342 Å, α = 90.00°, β = 90.00° and γ = 90.00°. The distinct sites, in fractional coordinates, are Rb at (0.000, 0.000, 0.000), Ti at (0.500, 0.500, 0.500) and Ge at (0.000, 0.000, 0.500).



Model Q:
Below is a geometry-optimized RbTiGe3 structure, with properties calculated at the PBE level.

It has space group Pm-3m (No. 221), with a = 5.041 Å, b = 5.041 Å, c = 5.041 Å, α = 90.00°, β = 90.00° and γ = 90.00°. The distinct sites, in fractional coordinates, are Rb at (0.000, 0.000, 0.000), Ti at (0.500, 0.500, 0.500) and Ge at (0.000, 0.500, 0.500).



The structure with the least stability is model P.



Model P:
Below is a geometry-optimized RbTlGe3 structure, with properties calculated at the PBE level.

It has space group Pm-3m (No. 221), with a = 5.572 Å, b = 5.572 Å, c = 5.572 Å, α = 90.00°, β = 90.00° and γ = 90.00°. The distinct sites, in fractional coordinates, are Rb at (0.000, 0.000, 0.000), Tl at (0.500, 0.500, 0.500) and Ge at (0.000, 0.500, 0.500).



Model Q:
Below is a geometry-optimized RbTlGe3 structure, with properties calculated at the PBE level.

It has space group Pm-3m (No. 221), with a = 5.789 Å, b = 5.789 Å, c = 5.789 Å, α = 90.00°, β = 90.00° and γ = 90.00°. The distinct sites, in fractional coordinates, are Rb at (0.000, 0.000, 0.000), Tl at (0.500, 0.500, 0.500) and Ge at (0.000, 0.000, 0.500).



The structure with the least stability is model Q.



Model P:
Below is a geometry-optimized Rb2TlGe2 structure, with properties calculated at the PBE level.

It has space group P4/mbm (No. 127), with a = 8.302 Å, b = 8.302 Å, c = 5.471 Å, α = 90.00°, β = 90.00° and γ = 90.00°. The distinct sites, in fractional coordinates, are Rb at (0.196, 0.304, 0.000), Tl at (0.000, 0.000, 0.500) and Ge at (0.099, 0.599, 0.500).



Model Q:
Below is a geometry-optimized Rb2TlGe2 structure, with properties calculated at the PBE level.

It has space group I4/mmm (No. 139), with a = 5.538 Å, b = 5.538 Å, c = 13.397 Å, α = 90.00°, β = 90.00° and γ = 90.00°. The distinct sites, in fractional coordinates, are Rb at (0.000, 0.500, 0.250), Tl at (0.000, 0.000, 0.000) and Ge at (0.000, 0.000, 0.416).



Model R:
Below is a geometry-optimized Rb2TlGe2 structure, with properties calculated at the PBE level.

It has space group C2/c (No. 15), with a = 11.587 Å, b = 7.125 Å, c = 9.445 Å, α = 90.00°, β = 106.90° and γ = 90.00°. The distinct sites, in fractional coordinates, are Rb at (0.143, 0.156, 0.128), Tl at (0.000, 0.412, 0.750) and Ge at (0.160, 0.332, 0.496).



Model S:
Below is a geometry-optimized Rb2TlGe2 structure, with properties calculated at the PBE level.

It has space group Immm (No. 71), with a = 5.085 Å, b = 5.898 Å, c = 11.763 Å, α = 90.00°, β = 90.00° and γ = 90.00°. The distinct sites, in fractional coordinates, are Rb at (0.000, 0.000, 0.207), Tl at (0.000, 0.500, 0.000) and Ge at (0.000, 0.284, 0.500).



The structure with the least stability is model Q.



Model P:
Below is a geometry-optimized Rb2TlGe structure, with properties calculated at the PBE level.

It has space group I-42d (No. 122), with a = 5.077 Å, b = 5.077 Å, c = 24.933 Å, α = 90.00°, β = 90.00° and γ = 90.00°. The distinct sites, in fractional coordinates, are Rb at (0.246, 0.250, 0.125), Tl at (0.000, 0.000, 0.500) and Ge at (0.000, 0.000, 0.000).



Model Q:
Below is a geometry-optimized Rb2TlGe structure, with properties calculated at the PBE level.

It has space group Fm-3m (No. 225), with a = 8.602 Å, b = 8.602 Å, c = 8.602 Å, α = 90.00°, β = 90.00° and γ = 90.00°. The distinct sites, in fractional coordinates, are Rb at (0.250, 0.250, 0.250), Tl at (0.000, 0.000, 0.000) and Ge at (0.000, 0.000, 0.500).



The structure with the least stability is model P.



Model P:
Below is a geometry-optimized RbTlGe2 structure, with properties calculated at the PBE level.

It has space group Fm-3m (No. 225), with a = 7.620 Å, b = 7.620 Å, c = 7.620 Å, α = 90.00°, β = 90.00° and γ = 90.00°. The distinct sites, in fractional coordinates, are Rb at (0.000, 0.000, 0.000), Tl at (0.000, 0.000, 0.500) and Ge at (0.250, 0.250, 0.250).



Model Q:
Below is a geometry-optimized RbTlGe2 structure, with properties calculated at the PBE level.

It has space group I4_1/amd (No. 141, origin choice 2), with a = 5.345 Å, b = 5.345 Å, c = 20.218 Å, α = 90.00°, β = 90.00° and γ = 90.00°. The distinct sites, in fractional coordinates, are Rb at (0.000, 0.250, 0.375), Tl at (0.000, 0.250, 0.875) and Ge at (0.000, 0.000, 0.000).



The structure with the least stability is model P.



Model P:
Below is a geometry-optimized RbTl2Ge2 structure, with properties calculated at the PBE level.

It has space group I4/mmm (No. 139), with a = 5.289 Å, b = 5.289 Å, c = 10.796 Å, α = 90.00°, β = 90.00° and γ = 90.00°. The distinct sites, in fractional coordinates, are Rb at (0.000, 0.000, 0.000), Tl at (0.000, 0.500, 0.250) and Ge at (0.000, 0.000, 0.383).



Model Q:
Below is a geometry-optimized RbTl2Ge2 structure, with properties calculated at the PBE level.

It has space group P4/mbm (No. 127), with a = 9.234 Å, b = 9.234 Å, c = 3.506 Å, α = 90.00°, β = 90.00° and γ = 90.00°. The distinct sites, in fractional coordinates, are Rb at (0.000, 0.000, 0.000), Tl at (0.166, 0.334, 0.500) and Ge at (0.107, 0.607, 0.000).



Model R:
Below is a geometry-optimized RbTl2Ge2 structure, with properties calculated at the PBE level.

It has space group I4/mmm (No. 139), with a = 5.024 Å, b = 5.024 Å, c = 12.057 Å, α = 90.00°, β = 90.00° and γ = 90.00°. The distinct sites, in fractional coordinates, are Rb at (0.000, 0.000, 0.000), Tl at (0.000, 0.000, 0.373) and Ge at (0.000, 0.500, 0.250).



The structure with the least stability is model Q.